An optimized crystal structure of BaAg4Au4. Source: the Alexandria database, functional GGA-PBE.

The structure in POSCAR format:
```
BaAg4Au4
1.0
-4.701 4.701 2.465
4.701 -4.701 2.465
4.701 4.701 -2.465
Ba Ag Au
1 4 4
direct
0.000 0.000 0.000 Ba
0.095 0.605 0.700 Ag
0.395 0.095 0.490 Ag
0.605 0.905 0.510 Ag
0.905 0.395 0.300 Ag
0.212 0.320 0.532 Au
0.320 0.788 0.108 Au
0.680 0.212 0.892 Au
0.788 0.680 0.468 Au
```

Properties
energy relative to the elements: -177.4 meV/atom
E_tot: -3.115 eV/atom
symmetry: I4/m (87)
density of states at the Fermi level: 0.24 states/eV/atom

***

An optimized crystal structure of BaAgAu. Source: the Alexandria database, functional GGA-PBE.

The structure in POSCAR format:
```
BaAgAu
1.0
0.000 3.856 3.856
3.856 0.000 3.856
3.856 3.856 0.000
Ba Ag Au
1 1 1
direct
0.000 0.000 0.000 Ba
0.750 0.750 0.750 Ag
0.250 0.250 0.250 Au
```

Properties
energy relative to the elements: -130.5 meV/atom
E_tot: -2.814 eV/atom
symmetry: F-43m (216)
density of states at the Fermi level: 0.17 states/eV/atom

***

An optimized crystal structure of BaAgAu3. Source: the Alexandria database, functional GGA-PBE.

The structure in POSCAR format:
```
BaAgAu3
1.0
6.064 0.000 0.000
0.000 6.064 0.000
0.000 0.000 6.064
Ba Ag Au
1 1 3
direct
0.000 0.000 0.000 Ba
0.500 0.500 0.500 Ag
0.000 0.000 0.500 Au
0.000 0.500 0.000 Au
0.500 0.000 0.000 Au
```

Properties
energy relative to the elements: 716.1 meV/atom
E_tot: -2.205 eV/atom
symmetry: Pm-3m (221)
density of states at the Fermi level: 0.00 states/eV/atom

***

An optimized crystal structure of Ba2AgAu. Source: the Alexandria database, functional GGA-PBE.

The structure in POSCAR format:
```
Ba2AgAu
1.0
4.087 0.000 0.000
0.000 5.756 0.000
0.000 0.000 5.756
Ba Ag Au
2 1 1
direct
0.000 0.000 0.000 Ba
0.000 0.500 0.500 Ba
0.500 0.000 0.500 Ag
0.500 0.500 0.000 Au
```

Properties
energy relative to the elements: -454.7 meV/atom
E_tot: -2.948 eV/atom
symmetry: Pmm2 (25)
density of states at the Fermi level: 1.03 states/eV/atom

***

An optimized crystal structure of Ba6Ag2Au. Source: the Alexandria database, functional GGA-PBE.

The structure in POSCAR format:
```
Ba6Ag2Au
1.0
7.983 0.000 0.000
0.000 8.904 0.000
-7.735 0.000 11.978
Ba Ag Au
12 4 2
direct
0.095 0.042 0.250 Ba
0.095 0.458 0.750 Ba
0.242 0.678 0.073 Ba
0.242 0.822 0.573 Ba
0.403 0.176 0.068 Ba
0.403 0.324 0.568 Ba
0.597 0.676 0.432 Ba
0.597 0.824 0.932 Ba
0.758 0.178 0.427 Ba
0.758 0.322 0.927 Ba
0.905 0.542 0.250 Ba
0.905 0.958 0.750 Ba
0.313 0.119 0.755 Ag
0.313 0.381 0.255 Ag
0.687 0.619 0.745 Ag
0.687 0.881 0.245 Ag
0.000 0.000 0.000 Au
0.000 0.500 0.500 Au
```

Properties
energy relative to the elements: -284.2 meV/atom
E_tot: -2.564 eV/atom
symmetry: P2_1/c (14)
density of states at the Fermi level: 0.88 states/eV/atom

***

An optimized crystal structure of Ba19Ag4Au6. Source: the Alexandria database, functional GGA-PBE.

The structure in POSCAR format:
```
Ba19Ag4Au6
1.0
-7.132 7.132 7.132
7.132 -7.132 7.132
7.132 7.132 -7.132
Ba Ag Au
19 4 6
direct
0.000 0.000 0.000 Ba
0.000 0.323 0.323 Ba
0.000 0.677 0.677 Ba
0.029 0.782 0.380 Ba
0.218 0.247 0.598 Ba
0.247 0.598 0.218 Ba
0.323 0.000 0.323 Ba
0.323 0.323 0.000 Ba
0.351 0.753 0.971 Ba
0.380 0.029 0.782 Ba
0.402 0.649 0.620 Ba
0.598 0.218 0.247 Ba
0.620 0.402 0.649 Ba
0.649 0.620 0.402 Ba
0.677 0.000 0.677 Ba
0.677 0.677 0.000 Ba
0.753 0.971 0.351 Ba
0.782 0.380 0.029 Ba
0.971 0.351 0.753 Ba
0.000 0.000 0.273 Ag
0.000 0.273 0.000 Ag
0.273 0.000 0.000 Ag
0.727 0.727 0.727 Ag
0.158 0.500 0.658 Au
0.342 0.842 0.500 Au
0.500 0.342 0.842 Au
0.500 0.658 0.158 Au
0.658 0.158 0.500 Au
0.842 0.500 0.342 Au
```

Properties
energy relative to the elements: -293.8 meV/atom
E_tot: -2.625 eV/atom
symmetry: I23 (197)
density of states at the Fermi level: 0.72 states/eV/atom

***

An optimized crystal structure of Ba4Ag3Au. Source: the Alexandria database, functional GGA-PBE.

The structure in POSCAR format:
```
Ba4Ag3Au
1.0
4.670 0.000 0.000
0.000 4.972 0.000
0.000 0.000 12.602
Ba Ag Au
4 3 1
direct
0.000 0.000 0.000 Ba
0.000 0.500 0.269 Ba
0.500 0.000 0.490 Ba
0.500 0.500 0.772 Ba
0.000 0.000 0.700 Ag
0.000 0.500 0.564 Ag
0.500 0.500 0.063 Ag
0.500 0.000 0.207 Au
```

Properties
energy relative to the elements: -378.9 meV/atom
E_tot: -2.819 eV/atom
symmetry: Pmm2 (25)
density of states at the Fermi level: 0.76 states/eV/atom

***

An optimized crystal structure of BaAgAu2. Source: the Alexandria database, functional GGA-PBE.

The structure in POSCAR format:
```
BaAgAu2
1.0
5.709 0.000 0.000
0.000 4.297 2.467
0.000 -4.297 2.467
Ba Ag Au
1 1 2
direct
0.000 0.000 0.000 Ba
0.500 0.592 0.592 Ag
0.500 0.274 0.929 Au
0.500 0.929 0.274 Au
```

Properties
energy relative to the elements: -313.3 meV/atom
E_tot: -3.145 eV/atom
symmetry: Amm2 (38)
density of states at the Fermi level: 0.56 states/eV/atom

***

An optimized crystal structure of BaAg4Au2. Source: the Alexandria database, functional GGA-PBE.

The structure in POSCAR format:
```
BaAg4Au2
1.0
-4.204 4.204 2.925
4.204 -4.204 2.925
4.204 4.204 -2.925
Ba Ag Au
1 4 2
direct
0.000 0.000 0.000 Ba
0.273 0.500 0.773 Ag
0.500 0.273 0.773 Ag
0.500 0.727 0.227 Ag
0.727 0.500 0.227 Ag
0.250 0.750 0.500 Au
0.750 0.250 0.500 Au
```

Properties
energy relative to the elements: 95.6 meV/atom
E_tot: -2.745 eV/atom
symmetry: I4/mmm (139)
density of states at the Fermi level: 0.42 states/eV/atom

***

An optimized crystal structure of BaAgAu. Source: the Alexandria database, functional GGA-PBE.

The structure in POSCAR format:
```
BaAgAu
1.0
0.000 3.681 3.681
3.681 0.000 3.681
3.681 3.681 0.000
Ba Ag Au
1 1 1
direct
0.000 0.000 0.000 Ba
0.500 0.500 0.500 Ag
0.750 0.750 0.750 Au
```

Properties
energy relative to the elements: -384.6 meV/atom
E_tot: -3.068 eV/atom
symmetry: F-43m (216)
density of states at the Fermi level: 0.31 states/eV/atom

***

An optimized crystal structure of BaAgAu2. Source: the Alexandria database, functional GGA-PBE.

The structure in POSCAR format:
```
BaAgAu2
1.0
-2.619 2.619 9.531
2.619 -2.619 9.531
2.619 2.619 -9.531
Ba Ag Au
2 2 4
direct
0.000 0.000 0.000 Ba
0.750 0.250 0.500 Ba
0.250 0.750 0.500 Ag
0.500 0.500 0.000 Ag
0.374 0.625 0.249 Au
0.375 0.624 0.749 Au
0.376 0.125 0.751 Au
0.875 0.626 0.251 Au
```

Properties
energy relative to the elements: -328.8 meV/atom
E_tot: -3.161 eV/atom
symmetry: I-42d (122)
density of states at the Fermi level: 0.52 states/eV/atom

***

An optimized crystal structure of Ba12Ag6Au. Source: the Alexandria database, functional GGA-PBE.

The structure in POSCAR format:
```
Ba12Ag6Au
1.0
7.526 4.345 4.657
-7.526 4.345 4.657
0.000 -8.691 4.657
Ba Ag Au
12 6 1
direct
0.044 0.916 0.680 Ba
0.084 0.320 0.956 Ba
0.179 0.574 0.417 Ba
0.320 0.956 0.084 Ba
0.417 0.179 0.574 Ba
0.426 0.583 0.821 Ba
0.574 0.417 0.179 Ba
0.583 0.821 0.426 Ba
0.680 0.044 0.916 Ba
0.821 0.426 0.583 Ba
0.916 0.680 0.044 Ba
0.956 0.084 0.320 Ba
0.134 0.312 0.622 Ag
0.312 0.622 0.134 Ag
0.378 0.866 0.688 Ag
0.622 0.134 0.312 Ag
0.688 0.378 0.866 Ag
0.866 0.688 0.378 Ag
0.000 0.000 0.000 Au
```

Properties
energy relative to the elements: -190.2 meV/atom
E_tot: -2.477 eV/atom
symmetry: R-3 (148)
density of states at the Fermi level: 0.87 states/eV/atom

***

Among the records above, which one has the lowest energy relative to the elements? Ba2AgAu

***

What is the E_tot in the eighth record? -3.145 eV/atom

***

Repeat the fourth record exactly.
An optimized crystal structure of Ba2AgAu. Source: the Alexandria database, functional GGA-PBE.

The structure in POSCAR format:
```
Ba2AgAu
1.0
4.087 0.000 0.000
0.000 5.756 0.000
0.000 0.000 5.756
Ba Ag Au
2 1 1
direct
0.000 0.000 0.000 Ba
0.000 0.500 0.500 Ba
0.500 0.000 0.500 Ag
0.500 0.500 0.000 Au
```

Properties
energy relative to the elements: -454.7 meV/atom
E_tot: -2.948 eV/atom
symmetry: Pmm2 (25)
density of states at the Fermi level: 1.03 states/eV/atom